Material: LaY2Sc
Method: DFT, PBE
State: optimized geometry

Output
Its formation energy from the elements is 0.060 eV per atom. The density comes out at 4.8 g/cm3. Its density of states at the Fermi level is 1.55 states/eV/atom. For the electronic total energy, the calculation gives -5.99 eV per atom.

abc: 3.573 4.964 7.046
angles: 90.00 90.00 90.00
Space group Pmmm (No. 47)
Unique sites:
1 La 0.000 0.000 0.000 [1 per cell]
2 Y 0.500 0.500 0.262 [2 per cell]
3 Sc 0.000 0.000 0.500 [1 per cell]